Compound: TcAu3C
Source: the Alexandria database
Functional: PBE
Structure: optimized geometry

## Properties
DFT formation energy ... 2.544 eV/atom
Offset from the most stable computed form ... 1405.9 meV/atom

Cell lengths 5.0363, 5.0363, 5.0363 Å; angles 90.00, 90.00, 90.00 degrees
Fractional coordinates of all 5 atoms:
Tc 0.0000 0.0000 0.0000
Au 0.0000 0.0000 0.5000
Au 0.0000 0.5000 0.0000
Au 0.5000 0.0000 0.0000
C 0.5000 0.5000 0.5000

***

Compound: Tc3AuC
Source: the Alexandria database
Functional: PBE
Structure: optimized geometry

## Properties
DFT formation energy ... 0.256 eV/atom
Offset from the most stable computed form ... 0.0 meV/atom

Cell lengths 4.0953, 4.0953, 4.0953 Å; angles 90.00, 90.00, 90.00 degrees
Fractional coordinates of all 5 atoms:
Tc 0.0000 0.0000 0.5000
Tc 0.0000 0.5000 0.0000
Tc 0.5000 0.0000 0.0000
Au 0.5000 0.5000 0.5000
C 0.0000 0.0000 0.0000

***

Compound: TcAuC2
Source: the Alexandria database
Functional: PBE
Structure: optimized geometry

## Properties
DFT formation energy ... 2.003 eV/atom
Offset from the most stable computed form ... 1028.7 meV/atom

Cell lengths 3.9580, 3.9580, 3.9580 Å; angles 60.00, 60.00, 60.00 degrees
Fractional coordinates of all 4 atoms:
Tc 0.0000 0.0000 0.0000
Au 0.5000 0.5000 0.5000
C 0.2500 0.2500 0.2500
C 0.7500 0.7500 0.7500

***

Compound: TcAuC2
Source: the Alexandria database
Functional: PBE
Structure: optimized geometry

## Properties
DFT formation energy ... 0.974 eV/atom
Offset from the most stable computed form ... 0.0 meV/atom

Cell lengths 5.8118, 5.8118, 5.8118 Å; angles 130.93, 130.93, 71.93 degrees
Fractional coordinates of all 8 atoms:
Tc 0.0000 0.0000 0.0000
Tc 0.7500 0.2500 0.5000
Au 0.2500 0.7500 0.5000
Au 0.5000 0.5000 0.0000
C 0.0783 0.6250 0.9533
C 0.3750 0.3283 0.4533
C 0.6717 0.1250 0.0467
C 0.8750 0.9217 0.5467

***

Compound: TcAu3C
Source: the Alexandria database
Functional: PBE
Structure: optimized geometry

## Properties
DFT formation energy ... 1.138 eV/atom
Offset from the most stable computed form ... 0.0 meV/atom

Cell lengths 4.3430, 4.3430, 4.3430 Å; angles 90.00, 90.00, 90.00 degrees
Fractional coordinates of all 5 atoms:
Tc 0.0000 0.0000 0.0000
Au 0.0000 0.5000 0.5000
Au 0.5000 0.0000 0.5000
Au 0.5000 0.5000 0.0000
C 0.5000 0.5000 0.5000

***

Compound: Tc3AuC
Source: the Alexandria database
Functional: PBE
Structure: optimized geometry

## Properties
DFT formation energy ... 3.516 eV/atom
Offset from the most stable computed form ... 3259.7 meV/atom

Cell lengths 5.0762, 5.0762, 5.0762 Å; angles 90.00, 90.00, 90.00 degrees
Fractional coordinates of all 5 atoms:
Tc 0.0000 0.0000 0.5000
Tc 0.0000 0.5000 0.0000
Tc 0.5000 0.0000 0.0000
Au 0.0000 0.0000 0.0000
C 0.5000 0.5000 0.5000

***

Compound: Tc2AuC
Source: the Alexandria database
Functional: PBE
Structure: optimized geometry

## Properties
DFT formation energy ... 0.954 eV/atom

Cell lengths 6.6164, 6.6164, 6.6164 Å; angles 136.39, 136.39, 63.38 degrees
Fractional coordinates of all 8 atoms:
Tc 0.0018 0.6250 0.8768
Tc 0.3750 0.2518 0.3768
Tc 0.7482 0.1250 0.1232
Tc 0.8750 0.9982 0.6232
Au 0.2500 0.7500 0.5000
Au 0.5000 0.5000 0.0000
C 0.0000 0.0000 0.0000
C 0.7500 0.2500 0.5000

***

Compound: Zr2TcAuC
Source: the Alexandria database
Functional: PBE
Structure: optimized geometry

## Properties
DFT formation energy ... -0.457 eV/atom

Cell lengths 4.6078, 4.6078, 3.9799 Å; angles 90.00, 90.00, 90.00 degrees
Fractional coordinates of all 5 atoms:
Zr 0.0000 0.5000 0.0000
Zr 0.5000 0.0000 0.0000
Tc 0.0000 0.0000 0.5000
Au 0.5000 0.5000 0.5000
C 0.0000 0.0000 0.0000

***

Compound: Te3AuC
Source: the Alexandria database
Functional: PBE
Structure: optimized geometry

## Properties
Uncorrected formation energy ... 1869 meV/atom
Offset from the most stable computed form ... 784.6 meV/atom

Cell lengths 5.4519, 5.4519, 5.4519 Å; angles 90.00, 90.00, 90.00 degrees
Fractional coordinates of all 5 atoms:
Te 0.0000 0.0000 0.5000
Te 0.0000 0.5000 0.0000
Te 0.5000 0.0000 0.0000
Au 0.0000 0.0000 0.0000
C 0.5000 0.5000 0.5000

***

Compound: TeAu2C
Source: the Alexandria database
Functional: PBE
Structure: optimized geometry

## Properties
Uncorrected formation energy ... 931 meV/atom
Offset from the most stable computed form ... 0.0 meV/atom

Cell lengths 7.3762, 7.3762, 7.3762 Å; angles 139.61, 139.61, 58.45 degrees
Fractional coordinates of all 8 atoms:
Te 0.0000 0.0000 0.0000
Te 0.7500 0.2500 0.5000
Au 0.2539 0.6250 0.1289
Au 0.3750 0.5039 0.6289
Au 0.4961 0.1250 0.8711
Au 0.8750 0.7461 0.3711
C 0.2500 0.7500 0.5000
C 0.5000 0.5000 0.0000

***

Compound: TeAu3C
Source: the Alexandria database
Functional: PBE
Structure: optimized geometry

## Properties
Uncorrected formation energy ... 1831 meV/atom
Offset from the most stable computed form ... 930.2 meV/atom

Cell lengths 5.2838, 5.2838, 5.2838 Å; angles 90.00, 90.00, 90.00 degrees
Fractional coordinates of all 5 atoms:
Te 0.0000 0.0000 0.0000
Au 0.0000 0.0000 0.5000
Au 0.0000 0.5000 0.0000
Au 0.5000 0.0000 0.0000
C 0.5000 0.5000 0.5000

***

Compound: Te3AuC
Source: the Alexandria database
Functional: PBE
Structure: optimized geometry

## Properties
Uncorrected formation energy ... 1085 meV/atom
Offset from the most stable computed form ... 0.0 meV/atom

Cell lengths 4.7953, 4.7953, 4.7953 Å; angles 90.00, 90.00, 90.00 degrees
Fractional coordinates of all 5 atoms:
Te 0.0000 0.0000 0.5000
Te 0.0000 0.5000 0.0000
Te 0.5000 0.0000 0.0000
Au 0.5000 0.5000 0.5000
C 0.0000 0.0000 0.0000

***

Asked for density of states at the Fermi level across the records above, the calculation gives 7.477, 2.380, 4.663, 2.673, 4.540, 2.631, 9.361, 2.272, 8.026, 4.728, 6.027, 3.866 states/eV per cell in order.